Here is LiHf2HOs after structural relaxation from Alexandria via LeMat-Bulk. Energies are from PBE.

Computed properties:
V (Å³/atom): 14.01
Energy (eV/atom): -7.6425
Total magnetic moment (μB per cell): 0.00

The structure in POSCAR format:
```
LiHf2HOs
1.0
4.5900 0.0000 0.0000
0.0000 4.5900 0.0000
0.0000 0.0000 3.3245
Li Hf H Os
1 2 1 1
Cartesian
0.0000 0.0000 0.0000
0.0000 2.2950 1.6623
2.2950 0.0000 1.6623
0.0000 0.0000 1.6623
2.2950 2.2950 0.0000
```